Density functional theory data (PBE) for a relaxed structure of SrOsPt2.

Cell lengths 4.659, 2.852, 5.730 Å; angles 81.81, 90.00, 90.00 degrees
Sites, in units of the cell vectors:
Os 0.500 0.714 0.847
Sr 0.000 0.543 0.461
Pt 0.500 0.095 0.245
Pt 0.000 0.148 0.947

The value obtained for the formation energy from the elements is 0.0925 eV/atom. The value obtained for the energy above the lowest structure with this stoichiometry is 61 meV per atom. Its space group is No. 6.

***

Density functional theory data (PBE) for a relaxed structure of Ba2Mg15Al2.

Cell lengths 7.932, 7.932, 7.932 Å; angles 82.85, 82.85, 82.85 degrees
Sites, in units of the cell vectors:
Mg 0.000 0.000 0.500
Mg 0.000 0.292 0.708
Mg 0.345 0.845 0.345
Mg 0.655 0.155 0.655
Mg 0.345 0.345 0.845
Mg 0.708 0.000 0.292
Mg 0.708 0.292 0.000
Mg 0.000 0.708 0.292
Mg 0.500 0.000 0.000
Mg 0.845 0.345 0.345
Mg 0.292 0.708 0.000
Mg 0.655 0.655 0.155
Mg 0.292 0.000 0.708
Mg 0.155 0.655 0.655
Mg 0.000 0.500 0.000
Al 0.091 0.091 0.091
Al 0.909 0.909 0.909
Ba 0.331 0.331 0.331
Ba 0.669 0.669 0.669

The value obtained for the formation energy from the elements is -0.0588 eV/atom. Its space group is No. 166.

***

Density functional theory data (PBE) for a relaxed structure of LaPuN.

Cell lengths 4.362, 4.362, 4.362 Å; angles 60.00, 60.00, 60.00 degrees
Sites, in units of the cell vectors:
N 0.250 0.250 0.250
Pu 0.000 0.000 0.000
La 0.500 0.500 0.500

The value obtained for the energy above the lowest structure with this stoichiometry is 484 meV per atom. Its space group is No. 216.

***

Density functional theory data (PBE) for a relaxed structure of Na2NpPaBi4.

Cell lengths 4.684, 8.048, 7.688 Å; angles 110.64, 90.00, 90.00 degrees
Sites, in units of the cell vectors:
Na 0.500 0.000 0.500
Na 0.000 0.500 0.500
Bi 0.000 0.259 0.774
Bi 0.000 0.741 0.226
Bi 0.500 0.243 0.225
Bi 0.500 0.757 0.775
Pa 0.500 0.500 0.000
Np 0.000 0.000 0.000

The value obtained for the formation energy from the elements is -0.0542 eV/atom. Its space group is No. 10.

***

Density functional theory data (PBE) for a relaxed structure of LiY2Si.

Cell lengths 7.949, 7.949, 6.520 Å; angles 52.44, 52.44, 90.00 degrees
Sites, in units of the cell vectors:
Y 0.651 0.125 0.250
Y 0.375 0.349 0.750
Y 0.875 0.901 0.750
Y 0.099 0.625 0.250
Li 0.250 0.750 0.500
Li 0.500 0.500 0.000
Si 0.000 0.000 0.000
Si 0.750 0.250 0.500

Its space group is No. 122.

***

Density functional theory data (PBE) for a relaxed structure of YZrCu2.

Cell lengths 3.378, 3.378, 6.797 Å; angles 90.00, 90.00, 90.00 degrees
Sites, in units of the cell vectors:
Cu 0.000 0.000 0.028
Cu 0.500 0.500 0.204
Zr 0.500 0.500 0.802
Y 0.000 0.000 0.466

The value obtained for the formation energy from the elements is -0.0585 eV/atom. The value obtained for the energy above the lowest structure with this stoichiometry is 90 meV per atom. Its space group is No. 99.

***

Number 1: E -6.156 eV per atom, Fermi-level density of states 2.5 states/eV/cell. Number 2: E -1.914 eV per atom, Fermi-level density of states 8.5 states/eV/cell. Number 3: E -9.458 eV per atom, Fermi-level density of states 7.8 states/eV/cell. Number 4: E -5.129 eV per atom, Fermi-level density of states 12.2 states/eV/cell. Number 5: E -5.053 eV per atom, Fermi-level density of states 2.3 states/eV/cell. Number 6: E -5.860 eV per atom, Fermi-level density of states 3.8 states/eV/cell.